# 1
Density functional theory data (GGA-PBE) for a relaxed Ho2PaB6 crystal.

Lattice parameters (Å, degrees): 3.9215 5.6423 5.6423 120.00 90.00 90.00
Closest atoms and distances in Å follow each position.
Atoms (fractional coordinates):
Ho 0.0000 0.3333 0.6667  12 B 2.72
Ho 0.0000 0.6667 0.3333  12 B 2.72
Pa 0.0000 0.0000 0.0000  12 B 2.71
B 0.5000 0.3311 0.3311  3 B 1.87-1.91
B 0.5000 0.6689 0.6689  3 B 1.87-1.91
B 0.5000 0.0000 0.6689  3 B 1.87-1.91
B 0.5000 0.6689 0.0000  3 B 1.87-1.91
B 0.5000 0.3311 0.0000  3 B 1.87-1.91
B 0.5000 0.0000 0.3311  3 B 1.87-1.91

- Energy of formation from the pure elements: -500 kJ/mol of formula units
- Electronic total energy: -7.100 eV per atom
- Calculated volume: 108 Å³/cell

***

# 2
Density functional theory data (GGA-PBE) for a relaxed Ta2Pd6Au crystal.

Lattice parameters (Å, degrees): 4.7169 4.9690 7.4376 81.34 71.51 61.66
Closest atoms and distances in Å follow each position.
Atoms (fractional coordinates):
Ta 0.3407 0.5000 0.8186  10 Pd 2.68-3.00
Ta 0.6593 0.5000 0.1814  10 Pd 2.68-3.00
Pd 0.9845 0.1834 0.8475  5 Pd 2.68-2.88, 4 Ta 2.73-3.00, 1 Au 2.82
Pd 0.3320 0.1834 0.1525  5 Pd 2.68-2.88, 4 Ta 2.73-3.00, 1 Au 2.82
Pd 0.6680 0.8166 0.8475  5 Pd 2.68-2.88, 4 Ta 2.73-3.00, 1 Au 2.82
Pd 0.3321 0.8357 0.5000  2 Ta 2.68, 5 Pd 2.76-2.94, 3 Au 2.78-2.91
Pd 0.6679 0.1643 0.5000  2 Ta 2.68, 5 Pd 2.76-2.94, 3 Au 2.78-2.91
Pd 0.0155 0.8166 0.1525  5 Pd 2.68-2.88, 4 Ta 2.73-3.00, 1 Au 2.82
Au 0.0000 0.5000 0.5000  10 Pd 2.78-2.91

- Energy of formation from the pure elements: -277 kJ/mol of formula units
- Electronic total energy: -6.780 eV per atom
- Calculated volume: 146 Å³/cell

***

# 3
Density functional theory data (GGA-PBE) for a relaxed Ce2Ge6PdRu crystal.

Lattice parameters (Å, degrees): 6.1342 6.1342 13.4161 76.78 76.78 60.00
Closest atoms and distances in Å follow each position.
Atoms (fractional coordinates):
Ce 0.8709 0.8709 0.3874  12 Ge 3.08-3.35
Ce 0.1291 0.1291 0.6126  12 Ge 3.08-3.35
Ce 0.7171 0.7171 0.8487  9 Ge 3.08-3.30
Ce 0.2829 0.2829 0.1513  9 Ge 3.08-3.30
Ge 0.9308 0.3446 0.3800  1 Ru 2.51, 2 Ge 2.54, 1 Pd 2.59
Ge 0.3446 0.9308 0.3800  1 Ru 2.51, 2 Ge 2.54, 1 Pd 2.59
Ge 0.3446 0.3446 0.3800  1 Ru 2.51, 2 Ge 2.54, 1 Pd 2.59
Ge 0.0692 0.6554 0.6200  1 Ru 2.51, 2 Ge 2.54, 1 Pd 2.59
Ge 0.6554 0.0692 0.6200  1 Ru 2.51, 2 Ge 2.54, 1 Pd 2.59
Ge 0.6554 0.6554 0.6200  1 Ru 2.51, 2 Ge 2.54, 1 Pd 2.59
Ge 0.7715 0.1951 0.8384  1 Ru 2.49, 1 Pd 2.57, 2 Ge 2.60
Ge 0.1951 0.7715 0.8384  1 Ru 2.49, 1 Pd 2.57, 2 Ge 2.60
Ge 0.1951 0.1951 0.8384  1 Ru 2.49, 1 Pd 2.57, 2 Ge 2.60
Ge 0.2285 0.8049 0.1616  1 Ru 2.49, 1 Pd 2.57, 2 Ge 2.60
Ge 0.8049 0.2285 0.1616  1 Ru 2.49, 1 Pd 2.57, 2 Ge 2.60
Ge 0.8049 0.8049 0.1616  1 Ru 2.49, 1 Pd 2.57, 2 Ge 2.60
Pd 0.0000 0.0000 0.0000  6 Ge 2.57
Pd 0.5000 0.5000 0.5000  6 Ge 2.59
Ru 0.5763 0.5763 0.2711  6 Ge 2.49-2.51
Ru 0.4237 0.4237 0.7289  6 Ge 2.49-2.51

- Energy of formation from the pure elements: -377 kJ/mol of formula units
- Electronic total energy: -5.795 eV per atom
- Calculated volume: 422 Å³/cell

***

# 4
Density functional theory data (GGA-PBE) for a relaxed Pr5Cd4Ag crystal.

Lattice parameters (Å, degrees): 3.8654 3.8654 19.2857 90.00 90.00 90.00
Closest atoms and distances in Å follow each position.
Atoms (fractional coordinates):
Pr 0.5000 0.5000 0.0958  4 Ag 3.30, 4 Cd 3.37, 1 Pr 3.69
Pr 0.5000 0.5000 0.2973  8 Cd 3.34-3.36
Pr 0.5000 0.5000 0.5000  8 Cd 3.37
Pr 0.5000 0.5000 0.7027  8 Cd 3.34-3.36
Pr 0.5000 0.5000 0.9042  4 Ag 3.30, 4 Cd 3.37, 1 Pr 3.69
Cd 0.0000 0.0000 0.1977  8 Pr 3.34-3.37
Cd 0.0000 0.0000 0.3982  8 Pr 3.36-3.37
Cd 0.0000 0.0000 0.6018  8 Pr 3.36-3.37
Cd 0.0000 0.0000 0.8023  8 Pr 3.34-3.37
Ag 0.0000 0.0000 0.0000  8 Pr 3.30

- Energy of formation from the pure elements: -293 kJ/mol of formula units
- Electronic total energy: -3.345 eV per atom
- Calculated volume: 288 Å³/cell

***

# 5
Density functional theory data (GGA-PBE) for a relaxed Tb2Dy5YSc crystal.

Lattice parameters (Å, degrees): 5.5335 10.3555 10.3065 90.00 90.00 105.50
Closest atoms and distances in Å follow each position.
Atoms (fractional coordinates):
Tb 0.8883 0.7767 0.8121  9 Dy 3.25-3.59, 1 Sc 3.49
Tb 0.1147 0.2294 0.7359  1 Sc 3.30, 6 Dy 3.47-3.65, 2 Y 3.61
Tb 0.1117 0.2233 0.3121  9 Dy 3.25-3.59, 1 Sc 3.49
Tb 0.8853 0.7706 0.2359  1 Sc 3.30, 6 Dy 3.47-3.65, 2 Y 3.61
Dy 0.3758 0.7516 0.0212  4 Tb 3.52-3.55, 4 Dy 3.58-3.69, 1 Sc 3.60
Dy 0.7256 0.4513 0.8207  1 Y 3.01, 1 Tb 3.25, 2 Dy 3.35
Dy 0.4820 0.9639 0.7409  2 Y 3.13-3.29, 2 Tb 3.42
Dy 0.2996 0.5992 0.7055  4 Dy 3.35-3.66, 1 Y 3.36, 2 Sc 3.39, 3 Tb 3.46-3.70
Dy 0.9833 0.9666 0.5162  2 Y 3.21, 4 Tb 3.31-3.59, 1 Sc 3.57
Dy 0.6242 0.2484 0.5212  4 Tb 3.52-3.55, 4 Dy 3.58-3.69, 1 Sc 3.60
Dy 0.2744 0.5487 0.3207  1 Y 3.01, 1 Tb 3.25, 2 Dy 3.35
Dy 0.5180 0.0361 0.2409  2 Y 3.13-3.29, 2 Tb 3.42
Dy 0.7004 0.4008 0.2055  4 Dy 3.35-3.66, 1 Y 3.36, 2 Sc 3.39, 3 Tb 3.46-3.70
Dy 0.0167 0.0334 0.0162  2 Y 3.21, 4 Tb 3.31-3.59, 1 Sc 3.57
Y 0.5922 0.1844 0.9563  6 Dy 3.01-3.36
Y 0.4078 0.8156 0.4563  6 Dy 3.01-3.36
Sc 0.8047 0.6093 0.5153  2 Tb 3.30-3.49, 7 Dy 3.39-3.60, 2 Y 3.50
Sc 0.1953 0.3907 0.0153  2 Tb 3.30-3.49, 7 Dy 3.39-3.60, 2 Y 3.50

- Energy of formation from the pure elements: 146 kJ/mol of formula units
- Electronic total energy: -4.839 eV per atom
- Calculated volume: 569 Å³/cell

***

# 6
Density functional theory data (GGA-PBE) for a relaxed NdDySc4 crystal.

Lattice parameters (Å, degrees): 5.3503 11.5764 5.9865 90.00 90.00 117.53
Closest atoms and distances in Å follow each position.
Atoms (fractional coordinates):
Nd 0.0000 0.2500 0.0749  10 Sc 3.34-3.54, 2 Dy 3.40
Nd 0.0000 0.7500 0.9251  10 Sc 3.34-3.54, 2 Dy 3.40
Dy 0.5000 0.2500 0.4241  10 Sc 3.35-3.54, 2 Nd 3.40
Dy 0.5000 0.7500 0.5759  10 Sc 3.35-3.54, 2 Nd 3.40
Sc 0.3295 0.5797 0.0899  7 Sc 3.30-3.50, 3 Nd 3.34-3.39, 2 Dy 3.39-3.54
Sc 0.1712 0.4211 0.5887  7 Sc 3.30-3.51, 3 Dy 3.35-3.38, 2 Nd 3.40-3.54
Sc 0.6705 0.9203 0.0899  7 Sc 3.30-3.50, 3 Nd 3.34-3.39, 2 Dy 3.39-3.54
Sc 0.8288 0.5789 0.4113  7 Sc 3.30-3.51, 3 Dy 3.35-3.38, 2 Nd 3.40-3.54
Sc 0.8288 0.0789 0.5887  7 Sc 3.30-3.51, 3 Dy 3.35-3.38, 2 Nd 3.40-3.54
Sc 0.3295 0.0797 0.9101  7 Sc 3.30-3.50, 3 Nd 3.34-3.39, 2 Dy 3.39-3.54
Sc 0.1712 0.9211 0.4113  7 Sc 3.30-3.51, 3 Dy 3.35-3.38, 2 Nd 3.40-3.54
Sc 0.6705 0.4203 0.9101  7 Sc 3.30-3.50, 3 Nd 3.34-3.39, 2 Dy 3.39-3.54

- Energy of formation from the pure elements: 22 kJ/mol of formula units
- Electronic total energy: -5.745 eV per atom
- Calculated volume: 329 Å³/cell

***

# 7
Density functional theory data (GGA-PBE) for a relaxed VTe2SI crystal.

Lattice parameters (Å, degrees): 5.1653 5.1653 5.1694 90.00 90.00 90.00
Closest atoms and distances in Å follow each position.
Atoms (fractional coordinates):
I 0.0000 0.0000 0.5000  2 V 2.58
S 0.5000 0.5000 0.5000  4 I 3.65, 8 Te 3.65
Te 0.0000 0.5000 0.0000  2 V 2.58
Te 0.5000 0.0000 0.0000  2 V 2.58
V 0.0000 0.0000 0.0000  4 Te 2.58, 2 I 2.58

- Electronic total energy: -3.740 eV per atom
- Calculated volume: 138 Å³/cell
- Formation energy (no corrections): 2.4 eV per formula unit

***

# 8
Density functional theory data (GGA-PBE) for a relaxed AcDy2TiN4 crystal.

Lattice parameters (Å, degrees): 3.4921 6.3076 11.8862 90.00 90.00 106.07
Closest atoms and distances in Å follow each position.
Atoms (fractional coordinates):
Ac 0.0927 0.1853 0.7500  6 N 2.74-2.92
Ac 0.9073 0.8147 0.2500  6 N 2.74-2.92
Dy 0.3705 0.7410 0.5403  6 N 2.34-2.56
Dy 0.6295 0.2590 0.0403  6 N 2.34-2.56
Dy 0.6295 0.2590 0.4597  6 N 2.34-2.56
Dy 0.3705 0.7410 0.9597  6 N 2.34-2.56
Ti 0.8297 0.6593 0.7500  4 N 1.88-2.05
Ti 0.1703 0.3407 0.2500  4 N 1.88-2.05
N 0.2614 0.5228 0.1216  1 Ti 1.88
N 0.7386 0.4772 0.6216  1 Ti 1.88
N 0.7386 0.4772 0.8784  1 Ti 1.88
N 0.2614 0.5228 0.3784  1 Ti 1.88
N 0.0000 0.0000 0.5000  4 Dy 2.40
N 0.0000 0.0000 0.0000  4 Dy 2.40
N 0.4183 0.8367 0.7500  2 Ti 2.05
N 0.5817 0.1633 0.2500  2 Ti 2.05

- Electronic total energy: -8.274 eV per atom
- Calculated volume: 252 Å³/cell
- Formation energy (no corrections): -11.7 eV per formula unit

***

# 9
Density functional theory data (GGA-PBE) for a relaxed TlB3Pd crystal.

Lattice parameters (Å, degrees): 4.4747 4.4747 4.4747 90.00 90.00 90.00
Closest atoms and distances in Å follow each position.
Atoms (fractional coordinates):
Tl 0.0000 0.0000 0.0000  6 B 2.24
B 0.0000 0.5000 0.0000  2 Tl 2.24
B 0.0000 0.0000 0.5000  2 Tl 2.24
B 0.5000 0.0000 0.0000  2 Tl 2.24
Pd 0.5000 0.5000 0.5000  12 B 3.16

- Energy of formation from the pure elements: 1243 kJ/mol of formula units
- Electronic total energy: -2.943 eV per atom
- Calculated volume: 90 Å³/cell

***

# 10
Density functional theory data (GGA-PBE) for a relaxed CdPbBr2 crystal.

Lattice parameters (Å, degrees): 3.7720 3.7720 8.8486 90.00 90.00 90.00
Closest atoms and distances in Å follow each position.
Atoms (fractional coordinates):
Pb 0.5000 0.5000 0.7433  4 Br 3.20, 4 Cd 3.50
Br 0.0000 0.0000 0.9435  4 Pb 3.20
Br 0.5000 0.5000 0.3263  4 Cd 3.02
Cd 0.0000 0.0000 0.4869  4 Br 3.02

- Electronic total energy: -2.416 eV per atom
- Calculated volume: 126 Å³/cell
- Formation energy (no corrections): -1.7 eV per formula unit

***

# 11
Density functional theory data (GGA-PBE) for a relaxed Sr6LiHg crystal.

Lattice parameters (Å, degrees): 5.8518 5.8518 11.0898 74.70 74.70 90.00
Closest atoms and distances in Å follow each position.
Atoms (fractional coordinates):
Sr 0.7482 0.7482 0.5037  12 Sr 4.14-4.34
Sr 0.5961 0.0961 0.8078  2 Hg 3.53, 2 Li 3.53
Sr 0.0961 0.5961 0.8078  2 Li 3.53, 2 Hg 3.53
Sr 0.4039 0.9039 0.1922  2 Hg 3.53, 2 Li 3.53
Sr 0.2518 0.2518 0.4963  12 Sr 4.14-4.34
Sr 0.9039 0.4039 0.1922  2 Li 3.53, 2 Hg 3.53
Li 0.5000 0.5000 0.0000  8 Sr 3.53
Hg 0.0000 0.0000 0.0000  8 Sr 3.53

- Energy of formation from the pure elements: -98 kJ/mol of formula units
- Electronic total energy: -1.666 eV per atom
- Calculated volume: 352 Å³/cell

***

# 12
Density functional theory data (GGA-PBE) for a relaxed BaZnH8Pt2 crystal.

Lattice parameters (Å, degrees): 4.9215 4.9215 6.5361 67.88 67.88 60.00
Closest atoms and distances in Å follow each position.
Atoms (fractional coordinates):
Ba 0.5000 0.5000 0.5000  18 H 2.87-2.93
Zn 0.0000 0.0000 0.0000  6 H 1.84
H 0.1903 0.1903 0.4291  1 Pt 1.65
H 0.6320 0.0684 0.2313  1 Pt 1.67, 1 Zn 1.84
H 0.8097 0.8097 0.5709  1 Pt 1.65
H 0.0683 0.6320 0.2313  1 Pt 1.67, 1 Zn 1.84
H 0.9317 0.3680 0.7687  1 Pt 1.67, 1 Zn 1.84
H 0.0684 0.0683 0.2313  1 Pt 1.67, 1 Zn 1.84
H 0.9316 0.9317 0.7687  1 Pt 1.67, 1 Zn 1.84
H 0.3680 0.9316 0.7687  1 Pt 1.67, 1 Zn 1.84
Pt 0.2836 0.2836 0.1491  4 H 1.65-1.67
Pt 0.7164 0.7164 0.8509  4 H 1.65-1.67

- Electronic total energy: -3.601 eV per atom
- Calculated volume: 123 Å³/cell